#A
# BaMoRh2 | Alexandria via LeMat-Bulk | GGA-PBE | relaxed
data_BaMoRh2
_symmetry_space_group_name_H-M 'F m -3 m'
_symmetry_Int_Tables_number 225
_symmetry_space_group_name_Hall '-F 4 2 3'
_cell_length_a 6.8039
_cell_length_b 6.8039
_cell_length_c 6.8039
_cell_angle_alpha 90.00
_cell_angle_beta 90.00
_cell_angle_gamma 90.00
loop_
_atom_site_label
_atom_site_fract_x
_atom_site_fract_y
_atom_site_fract_z
_atom_site_occupancy
Ba1 0.0000 0.0000 0.0000 1
Mo1 0.0000 0.0000 0.5000 1
Rh1 0.2500 0.2500 0.2500 1
# Magnetization   0.0 μB/f.u.
# Density   9.3 Mg/m³


#B
# BaMoRh2 | Alexandria via LeMat-Bulk | GGA-PBE | relaxed
data_BaMoRh2
_symmetry_space_group_name_H-M 'C 1 2/m 1'
_symmetry_Int_Tables_number 12
_cell_length_a 7.2612
_cell_length_b 7.2584
_cell_length_c 2.9794
_cell_angle_alpha 90.00
_cell_angle_beta 90.18
_cell_angle_gamma 90.00
loop_
_symmetry_equiv_pos_as_xyz
'x,y,z'
'-x,-y,-z'
'-x,y,-z'
'x,-y,z'
'x+1/2,y+1/2,z'
'-x+1/2,-y+1/2,-z'
'-x+1/2,y+1/2,-z'
'x+1/2,-y+1/2,z'
loop_
_atom_site_label
_atom_site_fract_x
_atom_site_fract_y
_atom_site_fract_z
_atom_site_occupancy
Ba1 0.0000 0.0000 0.0000 1
Mo1 0.0000 0.5000 0.0000 1
Rh1 0.2500 0.2500 0.5000 1
# Magnetization   0.0 μB/f.u.
# Density   9.3 Mg/m³


Which structure wins on stability? #B wins.


#A
# B5C7 | Alexandria via LeMat-Bulk | GGA-PBE | relaxed
data_B5C7
_symmetry_space_group_name_H-M 'C 1 m 1'
_symmetry_Int_Tables_number 8
_cell_length_a 13.8486
_cell_length_b 2.6386
_cell_length_c 4.5594
_cell_angle_alpha 90.00
_cell_angle_beta 109.14
_cell_angle_gamma 90.00
loop_
_symmetry_equiv_pos_as_xyz
'x,y,z'
'x,-y,z'
'x+1/2,y+1/2,z'
'x+1/2,-y+1/2,z'
loop_
_atom_site_label
_atom_site_fract_x
_atom_site_fract_y
_atom_site_fract_z
_atom_site_occupancy
B1 0.0000 0.0000 0.0000 1
B2 0.0046 0.5000 0.5825 1
B3 0.0677 0.5000 0.2618 1
B4 0.2012 0.0000 0.5550 1
B5 0.3680 0.0000 0.7279 1
C1 0.0622 0.0000 0.7398 1
C2 0.1802 0.0000 0.8805 1
C3 0.1848 0.5000 0.3649 1
C4 0.2209 0.5000 0.0764 1
C5 0.3431 0.5000 0.2013 1
C6 0.3802 0.5000 0.9162 1
C7 0.3813 0.0000 0.3950 1
# Magnetization   0.0 μB/f.u.
# Density   2.9 Mg/m³


#B
# B5C7 | Alexandria via LeMat-Bulk | GGA-PBE | relaxed
data_B5C7
_symmetry_space_group_name_H-M 'C 1 m 1'
_symmetry_Int_Tables_number 8
_cell_length_a 12.8244
_cell_length_b 2.5981
_cell_length_c 4.7300
_cell_angle_alpha 90.00
_cell_angle_beta 104.67
_cell_angle_gamma 90.00
loop_
_symmetry_equiv_pos_as_xyz
'x,y,z'
'x,-y,z'
'x+1/2,y+1/2,z'
'x+1/2,-y+1/2,z'
loop_
_atom_site_label
_atom_site_fract_x
_atom_site_fract_y
_atom_site_fract_z
_atom_site_occupancy
B1 0.0000 0.0000 0.0000 1
B2 0.0308 0.5000 0.2360 1
B3 0.1383 0.0000 0.2350 1
B4 0.2016 0.5000 0.0520 1
B5 0.3675 0.0000 0.0226 1
C1 0.0367 0.5000 0.5744 1
C2 0.1582 0.5000 0.7071 1
C3 0.1996 0.0000 0.5860 1
C4 0.3220 0.0000 0.6570 1
C5 0.3304 0.5000 0.1900 1
C6 0.3634 0.5000 0.5276 1
C7 0.4853 0.5000 0.6613 1
# Magnetization   0.0 μB/f.u.
# Density   3.0 Mg/m³


Which structure wins on stability? #A wins.


#A
# Mg2ScTl | Alexandria via LeMat-Bulk | GGA-PBE | relaxed
data_Mg2ScTl
_symmetry_space_group_name_H-M 'F m -3 m'
_symmetry_Int_Tables_number 225
_symmetry_space_group_name_Hall '-F 4 2 3'
_cell_length_a 7.1617
_cell_length_b 7.1617
_cell_length_c 7.1617
_cell_angle_alpha 90.00
_cell_angle_beta 90.00
_cell_angle_gamma 90.00
loop_
_atom_site_label
_atom_site_fract_x
_atom_site_fract_y
_atom_site_fract_z
_atom_site_occupancy
Mg1 0.2500 0.2500 0.2500 1
Sc1 0.0000 0.0000 0.0000 1
Tl1 0.0000 0.0000 0.5000 1
# Magnetization   0.0 μB/f.u.
# Density   5.4 Mg/m³


#B
# Mg2ScTl | Alexandria via LeMat-Bulk | GGA-PBE | relaxed
data_Mg2ScTl
_symmetry_space_group_name_H-M 'C 1 m 1'
_symmetry_Int_Tables_number 8
_cell_length_a 10.3667
_cell_length_b 3.3688
_cell_length_c 5.5752
_cell_angle_alpha 90.00
_cell_angle_beta 102.42
_cell_angle_gamma 90.00
loop_
_symmetry_equiv_pos_as_xyz
'x,y,z'
'x,-y,z'
'x+1/2,y+1/2,z'
'x+1/2,-y+1/2,z'
loop_
_atom_site_label
_atom_site_fract_x
_atom_site_fract_y
_atom_site_fract_z
_atom_site_occupancy
Mg1 0.0000 0.0000 0.0000 1
Mg2 0.2487 0.0000 0.7851 1
Sc1 0.4936 0.0000 0.5043 1
Tl1 0.2428 0.5000 0.2851 1
# Magnetization   0.0 μB/f.u.
# Density   5.2 Mg/m³


Which structure wins on stability? #B wins.


#A
# TlZnI2O | Alexandria via LeMat-Bulk | GGA-PBE | relaxed
data_TlZnI2O
_symmetry_space_group_name_H-M 'P 4/m m m'
_symmetry_Int_Tables_number 123
_symmetry_space_group_name_Hall '-P 4 2'
_cell_length_a 6.1709
_cell_length_b 6.1709
_cell_length_c 4.1124
_cell_angle_alpha 90.00
_cell_angle_beta 90.00
_cell_angle_gamma 90.00
loop_
_atom_site_label
_atom_site_fract_x
_atom_site_fract_y
_atom_site_fract_z
_atom_site_occupancy
Tl1 0.0000 0.0000 0.0000 1
Zn1 0.5000 0.5000 0.5000 1
I1 0.0000 0.5000 0.0000 1
O1 0.0000 0.0000 0.5000 1
# Magnetization   0.0 μB/f.u.
# Density   5.7 Mg/m³


#B
# TlZnI2O | Alexandria via LeMat-Bulk | GGA-PBE | relaxed
data_TlZnI2O
_symmetry_space_group_name_H-M 'P 4/m m m'
_symmetry_Int_Tables_number 123
_symmetry_space_group_name_Hall '-P 4 2'
_cell_length_a 6.5801
_cell_length_b 6.5801
_cell_length_c 3.5389
_cell_angle_alpha 90.00
_cell_angle_beta 90.00
_cell_angle_gamma 90.00
loop_
_atom_site_label
_atom_site_fract_x
_atom_site_fract_y
_atom_site_fract_z
_atom_site_occupancy
Tl1 0.0000 0.0000 0.0000 1
Zn1 0.5000 0.5000 0.5000 1
I1 0.0000 0.5000 0.5000 1
O1 0.5000 0.5000 0.0000 1
# Magnetization   0.2 μB/f.u.
# Density   5.8 Mg/m³


Which structure wins on stability? #B wins.


#A
# CaZr2Cu | Alexandria via LeMat-Bulk | GGA-PBE | relaxed
data_CaZr2Cu
_symmetry_space_group_name_H-M 'P 4 m m'
_symmetry_Int_Tables_number 99
_cell_length_a 3.3105
_cell_length_b 3.3105
_cell_length_c 8.5251
_cell_angle_alpha 90.00
_cell_angle_beta 90.00
_cell_angle_gamma 90.00
loop_
_symmetry_equiv_pos_as_xyz
'x,y,z'
'-y,x,z'
'-x,-y,z'
'y,-x,z'
'-x,y,z'
'y,x,z'
'x,-y,z'
'-y,-x,z'
loop_
_atom_site_label
_atom_site_fract_x
_atom_site_fract_y
_atom_site_fract_z
_atom_site_occupancy
Ca1 0.0000 0.0000 0.0000 1
Zr1 0.0000 0.0000 0.5790 1
Zr2 0.5000 0.5000 0.3391 1
Cu1 0.5000 0.5000 0.7594 1
# Magnetization   0.0 μB/f.u.
# Density   5.1 Mg/m³


#B
# CaZr2Cu | Alexandria via LeMat-Bulk | GGA-PBE | relaxed
data_CaZr2Cu
_symmetry_space_group_name_H-M 'P 4/m m m'
_symmetry_Int_Tables_number 123
_symmetry_space_group_name_Hall '-P 4 2'
_cell_length_a 4.2777
_cell_length_b 4.2777
_cell_length_c 4.8908
_cell_angle_alpha 90.00
_cell_angle_beta 90.00
_cell_angle_gamma 90.00
loop_
_atom_site_label
_atom_site_fract_x
_atom_site_fract_y
_atom_site_fract_z
_atom_site_occupancy
Ca1 0.0000 0.0000 0.0000 1
Zr1 0.0000 0.5000 0.5000 1
Cu1 0.5000 0.5000 0.0000 1
# Magnetization   0.0 μB/f.u.
# Density   5.3 Mg/m³


Which structure wins on stability? #A wins.


#A
# HgTe2Se | Alexandria via LeMat-Bulk | GGA-PBE | relaxed
data_HgTe2Se
_symmetry_space_group_name_H-M 'P 4 m m'
_symmetry_Int_Tables_number 99
_cell_length_a 3.7227
_cell_length_b 3.7227
_cell_length_c 7.5564
_cell_angle_alpha 90.00
_cell_angle_beta 90.00
_cell_angle_gamma 90.00
loop_
_symmetry_equiv_pos_as_xyz
'x,y,z'
'-y,x,z'
'-x,-y,z'
'y,-x,z'
'-x,y,z'
'y,x,z'
'x,-y,z'
'-y,-x,z'
loop_
_atom_site_label
_atom_site_fract_x
_atom_site_fract_y
_atom_site_fract_z
_atom_site_occupancy
Hg1 0.0000 0.0000 0.0000 1
Te1 0.0000 0.0000 0.4682 1
Te2 0.5000 0.5000 0.7080 1
Se1 0.5000 0.5000 0.2282 1
# Magnetization   0.0 μB/f.u.
# Density   8.5 Mg/m³


#B
# HgTe2Se | Alexandria via LeMat-Bulk | GGA-PBE | relaxed
data_HgTe2Se
_symmetry_space_group_name_H-M 'P 4/m m m'
_symmetry_Int_Tables_number 123
_symmetry_space_group_name_Hall '-P 4 2'
_cell_length_a 4.2566
_cell_length_b 4.2566
_cell_length_c 6.1882
_cell_angle_alpha 90.00
_cell_angle_beta 90.00
_cell_angle_gamma 90.00
loop_
_atom_site_label
_atom_site_fract_x
_atom_site_fract_y
_atom_site_fract_z
_atom_site_occupancy
Hg1 0.0000 0.0000 0.0000 1
Te1 0.0000 0.0000 0.5000 1
Te2 0.5000 0.5000 0.0000 1
Se1 0.5000 0.5000 0.5000 1
# Magnetization   0.0 μB/f.u.
# Density   7.9 Mg/m³


Which structure wins on stability? #B wins.


#A
# KIrOs2 | Alexandria via LeMat-Bulk | GGA-PBE | relaxed
data_KIrOs2
_symmetry_space_group_name_H-M 'C 1 2/m 1'
_symmetry_Int_Tables_number 12
_cell_length_a 11.6666
_cell_length_b 2.6851
_cell_length_c 5.9749
_cell_angle_alpha 90.00
_cell_angle_beta 110.84
_cell_angle_gamma 90.00
loop_
_symmetry_equiv_pos_as_xyz
'x,y,z'
'-x,-y,-z'
'-x,y,-z'
'x,-y,z'
'x+1/2,y+1/2,z'
'-x+1/2,-y+1/2,-z'
'-x+1/2,y+1/2,-z'
'x+1/2,-y+1/2,z'
loop_
_atom_site_label
_atom_site_fract_x
_atom_site_fract_y
_atom_site_fract_z
_atom_site_occupancy
K1 0.0000 0.0000 0.0000 1
Ir1 0.0000 0.5000 0.5000 1
Os1 0.2026 0.0000 0.6203 1
# Magnetization   0.0 μB/f.u.
# Density   11.6 Mg/m³


#B
# KIrOs2 | Alexandria via LeMat-Bulk | GGA-PBE | relaxed
data_KIrOs2
_symmetry_space_group_name_H-M 'R -3 m'
_symmetry_Int_Tables_number 166
_symmetry_space_group_name_Hall '-R 3 2"'
_cell_length_a 2.7537
_cell_length_b 2.7537
_cell_length_c 31.1039
_cell_angle_alpha 90.00
_cell_angle_beta 90.00
_cell_angle_gamma 120.00
loop_
_atom_site_label
_atom_site_fract_x
_atom_site_fract_y
_atom_site_fract_z
_atom_site_occupancy
K1 0.0000 0.0000 0.0000 1
Ir1 0.0000 0.0000 0.5000 1
Os1 0.0000 0.0000 0.2372 1
# Magnetization   0.0 μB/f.u.
# Density   14.9 Mg/m³


Which structure wins on stability? #B wins.


#A
# ZrMo2 | Alexandria via LeMat-Bulk | GGA-PBE | relaxed
data_ZrMo2
_symmetry_space_group_name_H-M 'I m m m'
_symmetry_Int_Tables_number 71
_symmetry_space_group_name_Hall '-I 2 2'
_cell_length_a 2.7144
_cell_length_b 4.8677
_cell_length_c 8.1536
_cell_angle_alpha 90.00
_cell_angle_beta 90.00
_cell_angle_gamma 90.00
loop_
_atom_site_label
_atom_site_fract_x
_atom_site_fract_y
_atom_site_fract_z
_atom_site_occupancy
Zr1 0.0000 0.0000 0.0000 1
Mo1 0.0000 0.0000 0.3378 1
# Magnetization   0.0 μB/f.u.
# Density   8.7 Mg/m³


#B
# ZrMo2 | Alexandria via LeMat-Bulk | GGA-PBE | relaxed
data_ZrMo2
_symmetry_space_group_name_H-M 'I 41/a m d'
_symmetry_Int_Tables_number 141
_cell_length_a 3.8439
_cell_length_b 3.8439
_cell_length_c 29.2644
_cell_angle_alpha 90.00
_cell_angle_beta 90.00
_cell_angle_gamma 90.00
loop_
_symmetry_equiv_pos_as_xyz
'x,y,z'
'-x,-y,-z'
'-y+1/4,x+3/4,z+1/4'
'y+1/4,-x+3/4,-z+1/4'
'-x+1/2,-y,z+1/2'
'x+1/2,y,-z+1/2'
'y+1/4,-x+1/4,z+3/4'
'-y+1/4,x+1/4,-z+3/4'
'x,-y,-z'
'-x,y,z'
'-y+1/4,-x+1/4,-z+3/4'
'y+1/4,x+1/4,z+3/4'
'-x+1/2,y,-z+1/2'
'x+1/2,-y,z+1/2'
'y+1/4,x+3/4,-z+1/4'
'-y+1/4,-x+3/4,z+1/4'
'x+1/2,y+1/2,z+1/2'
'-x+1/2,-y+1/2,-z+1/2'
'-y+3/4,x+1/4,z+3/4'
'y+3/4,-x+1/4,-z+3/4'
'-x,-y+1/2,z'
'x,y+1/2,-z'
'y+3/4,-x+3/4,z+1/4'
'-y+3/4,x+3/4,-z+1/4'
'x+1/2,-y+1/2,-z+1/2'
'-x+1/2,y+1/2,z+1/2'
'-y+3/4,-x+3/4,-z+1/4'
'y+3/4,x+3/4,z+1/4'
'-x,y+1/2,-z'
'x,-y+1/2,z'
'y+3/4,x+1/4,-z+3/4'
'-y+3/4,-x+1/4,z+3/4'
loop_
_atom_site_label
_atom_site_fract_x
_atom_site_fract_y
_atom_site_fract_z
_atom_site_occupancy
Zr1 0.0000 0.2500 0.2936 1
Mo1 0.0000 0.2500 0.1251 1
Mo2 0.0000 0.2500 0.7920 1
# Magnetization   0.0 μB/f.u.
# Density   8.7 Mg/m³


Which structure wins on stability? #B wins.